Material: Cu8P
Method: DFT, GGA-PBE
State: optimized geometry

Lattice parameters (Å, degrees): 5.7432 5.7432 5.7432 95.76 95.76 143.06
Closest atoms and distances in Å follow each position.
Fractional coordinates of all 9 atoms:
Cu  0.3344  0.6656  0.0000  10 Cu 2.55-2.59, 2 P 2.56
Cu  0.6668  0.0000  0.6668  1 P 2.57, 11 Cu 2.57-2.58
Cu  0.3332  0.0000  0.3332  1 P 2.57, 11 Cu 2.57-2.58
Cu  0.0000  0.6668  0.6668  1 P 2.57, 11 Cu 2.57-2.58
Cu  0.6656  0.6656  0.3312  10 Cu 2.55-2.59, 2 P 2.56
Cu  0.3344  0.3344  0.6688  10 Cu 2.55-2.59, 2 P 2.56
Cu  0.6656  0.3344  0.0000  10 Cu 2.55-2.59, 2 P 2.56
Cu  0.0000  0.3332  0.3332  1 P 2.57, 11 Cu 2.57-2.58
P  0.0000  0.0000  0.0000  12 Cu 2.56-2.57

Values from the calculation:
* D(E_F): 0.303 states/eV/atom
* E_form: 0.98 kJ/mol of atoms
* calculated volume: 12.0 A^3/atom